# ZrGeOsS2 PBE relaxed
data_ZrGeOsS2
_symmetry_space_group_name_H-M 'P 1'
_symmetry_Int_Tables_number 1
_cell_length_a 4.4481
_cell_length_b 4.4481
_cell_length_c 5.4543
_cell_angle_alpha 90.00
_cell_angle_beta 90.00
_cell_angle_gamma 90.00
loop_
_symmetry_equiv_pos_as_xyz
'x,y,z'
loop_
_atom_site_label
_atom_site_type_symbol
_atom_site_fract_x
_atom_site_fract_y
_atom_site_fract_z
Zr1 Zr 0.0000 0.0000 0.0000
Ge1 Ge 0.5000 0.5000 0.0000
Os1 Os 0.0000 0.0000 0.5000
S1 S 0.0000 0.5000 0.5000
S2 S 0.5000 0.0000 0.5000
# energy relative to the elements, uncorrected	177	kJ/mol of formula units
# relative energy among the computed polymorphs	0.0	meV per atom

# Pu3MnGe9Pd2 PBE relaxed
data_Pu3MnGe9Pd2
_symmetry_space_group_name_H-M 'P 1'
_symmetry_Int_Tables_number 1
_cell_length_a 7.4202
_cell_length_b 7.4202
_cell_length_c 6.8724
_cell_angle_alpha 90.00
_cell_angle_beta 90.00
_cell_angle_gamma 120.00
loop_
_symmetry_equiv_pos_as_xyz
'x,y,z'
loop_
_atom_site_label
_atom_site_type_symbol
_atom_site_fract_x
_atom_site_fract_y
_atom_site_fract_z
Pu1 Pu 0.0000 0.0000 0.0000
Pu2 Pu 0.3333 0.6667 0.6864
Pu3 Pu 0.6667 0.3333 0.3136
Mn1 Mn 0.0000 0.0000 0.5000
Ge1 Ge 0.0000 0.5000 0.0000
Ge2 Ge 0.1537 0.3074 0.3202
Ge3 Ge 0.1537 0.8463 0.3202
Ge4 Ge 0.3074 0.1537 0.6798
Ge5 Ge 0.5000 0.0000 0.0000
Ge6 Ge 0.5000 0.5000 0.0000
Ge7 Ge 0.6926 0.8463 0.3202
Ge8 Ge 0.8463 0.1537 0.6798
Ge9 Ge 0.8463 0.6926 0.6798
Pd1 Pd 0.3333 0.6667 0.2375
Pd2 Pd 0.6667 0.3333 0.7625
# formation enthalpy at 0 K	-0.04	eV per atom

# BaSbBr2 PBE relaxed
data_BaSbBr2
_symmetry_space_group_name_H-M 'P 1'
_symmetry_Int_Tables_number 1
_cell_length_a 3.8749
_cell_length_b 3.8749
_cell_length_c 10.8268
_cell_angle_alpha 90.00
_cell_angle_beta 90.00
_cell_angle_gamma 90.00
loop_
_symmetry_equiv_pos_as_xyz
'x,y,z'
loop_
_atom_site_label
_atom_site_type_symbol
_atom_site_fract_x
_atom_site_fract_y
_atom_site_fract_z
Ba1 Ba 0.0000 0.0000 0.0000
Sb1 Sb 0.0000 0.0000 0.5000
Br1 Br 0.5000 0.5000 0.1707
Br2 Br 0.5000 0.5000 0.8293
# energy relative to the elements, uncorrected	-383	kJ/mol of formula units
# relative energy among the computed polymorphs	107.1	meV per atom

no.,calculated density (g/cm3)
1,6.4
2,8.4
3,4.3